1.
This record from Alexandria via LeMat-Bulk describes an optimized crystal structure of KMgNi2. The functional is GGA-PBE.

abc: 6.048 6.048 6.048
angles: 153.26 129.52 58.04
Positions (direct):
K 0.512 0.512 0.000
Mg 0.207 0.707 0.500
Ni 0.982 0.982 0.000
Ni 0.800 0.300 0.500

Results
Symmetry ... No. 44
Calculated formation energy ... 0.490 eV/atom
Total DFT energy (no corrections) ... -3.07 eV per atom
Fermi-level density of states ... 3.962 states/eV per cell


2.
This record from Alexandria via LeMat-Bulk describes an optimized crystal structure of KMg2Ni2. The functional is GGA-PBE.

abc: 4.487 4.487 6.130
angles: 68.53 68.53 90.00
Positions (direct):
Ni 0.388 0.388 0.223
Ni 0.612 0.612 0.777
K 0.000 0.000 0.000
Mg 0.750 0.250 0.500
Mg 0.250 0.750 0.500

Results
Symmetry ... No. 139
Calculated formation energy ... 0.259 eV/atom
Total DFT energy (no corrections) ... -2.91 eV per atom
Fermi-level density of states ... 2.387 states/eV per cell
Relative energy among the computed polymorphs ... 0.352 eV per formula unit


3.
This record from Alexandria via LeMat-Bulk describes an optimized crystal structure of KMg2Ni. The functional is GGA-PBE.

abc: 8.584 8.584 8.584
angles: 159.36 151.25 35.65
Positions (direct):
K 0.328 0.828 0.500
Mg 0.009 0.009 0.000
Mg 0.646 0.146 0.500
Ni 0.517 0.517 0.000

Results
Symmetry ... No. 44
Calculated formation energy ... 0.170 eV/atom
Total DFT energy (no corrections) ... -2.35 eV per atom
Fermi-level density of states ... 2.290 states/eV per cell
Relative energy among the computed polymorphs ... 0.127 eV per formula unit


4.
This record from Alexandria via LeMat-Bulk describes an optimized crystal structure of KMg2Ni. The functional is GGA-PBE.

abc: 6.509 6.509 6.509
angles: 152.71 128.11 59.61
Positions (direct):
K 0.250 0.750 0.500
Mg 0.936 0.936 0.000
Mg 0.564 0.564 0.000
Ni 0.750 0.250 0.500

Results
Symmetry ... No. 71
Calculated formation energy ... 0.251 eV/atom
Total DFT energy (no corrections) ... -2.27 eV per atom
Fermi-level density of states ... 1.565 states/eV per cell
Relative energy among the computed polymorphs ... 0.452 eV per formula unit


5.
This record from Alexandria via LeMat-Bulk describes an optimized crystal structure of KMgNi2. The functional is GGA-PBE.

abc: 2.877 5.047 5.047
angles: 90.00 90.00 90.00
Positions (direct):
K 0.500 0.500 0.000
Mg 0.500 0.000 0.500
Ni 0.000 0.000 0.000
Ni 0.000 0.500 0.500

Results
Symmetry ... No. 123
Calculated formation energy ... 0.678 eV/atom
Total DFT energy (no corrections) ... -2.89 eV per atom
Fermi-level density of states ... 5.438 states/eV per cell


6.
This record from Alexandria via LeMat-Bulk describes an optimized crystal structure of KMg2Ni. The functional is GGA-PBE.

abc: 6.298 6.298 3.054
angles: 77.45 77.45 120.76
Positions (direct):
K 0.000 0.500 0.500
Mg 0.000 0.000 0.000
Mg 0.500 0.500 0.000
Ni 0.500 0.000 0.500

Results
Symmetry ... No. 12
Calculated formation energy ... 0.565 eV/atom
Total DFT energy (no corrections) ... -1.95 eV per atom
Fermi-level density of states ... 2.609 states/eV per cell
Relative energy among the computed polymorphs ... 1.709 eV per formula unit


7.
This record from Alexandria via LeMat-Bulk describes an optimized crystal structure of K3MgNi. The functional is GGA-PBE.

abc: 6.154 6.154 6.154
angles: 90.00 90.00 90.00
Positions (direct):
Ni 0.000 0.000 0.000
K 0.000 0.500 0.000
K 0.000 0.000 0.500
K 0.500 0.000 0.000
Mg 0.500 0.500 0.500

Results
Symmetry ... No. 221
Calculated formation energy ... 0.588 eV/atom
Total DFT energy (no corrections) ... -1.55 eV per atom
Fermi-level density of states ... 6.782 states/eV per cell
Relative energy among the computed polymorphs ... 0.000 eV per formula unit


8.
This record from Alexandria via LeMat-Bulk describes an optimized crystal structure of KMg2Ni. The functional is GGA-PBE.

abc: 10.369 10.369 10.369
angles: 18.36 18.36 18.36
Positions (direct):
K 0.750 0.750 0.750
Mg 0.975 0.975 0.975
Mg 0.525 0.525 0.525
Ni 0.250 0.250 0.250

Results
Symmetry ... No. 166
Calculated formation energy ... 0.277 eV/atom
Total DFT energy (no corrections) ... -2.24 eV per atom
Fermi-level density of states ... 0.807 states/eV per cell
Relative energy among the computed polymorphs ... 0.556 eV per formula unit


9.
This record from Alexandria via LeMat-Bulk describes an optimized crystal structure of KMgNi2. The functional is GGA-PBE.

abc: 6.849 5.083 2.871
angles: 90.20 64.88 123.63
Positions (direct):
K 0.000 0.500 0.500
Mg 0.500 0.500 0.000
Ni 0.000 0.000 0.000
Ni 0.500 0.000 0.500

Results
Symmetry ... No. 12
Calculated formation energy ... 0.659 eV/atom
Total DFT energy (no corrections) ... -2.90 eV per atom
Fermi-level density of states ... 3.491 states/eV per cell


10.
This record from Alexandria via LeMat-Bulk describes an optimized crystal structure of KMgNi2. The functional is GGA-PBE.

abc: 5.656 5.656 5.656
angles: 149.90 123.77 65.10
Positions (direct):
K 0.750 0.250 0.500
Mg 0.250 0.750 0.500
Ni 0.031 0.031 0.000
Ni 0.469 0.469 0.000

Results
Symmetry ... No. 71
Calculated formation energy ... 0.711 eV/atom
Total DFT energy (no corrections) ... -2.85 eV per atom
Fermi-level density of states ... 3.995 states/eV per cell


11.
This record from Alexandria via LeMat-Bulk describes an optimized crystal structure of KMg2Ni. The functional is GGA-PBE.

abc: 4.696 4.525 4.525
angles: 90.00 90.00 90.00
Positions (direct):
K 0.500 0.000 0.500
Mg 0.000 0.000 0.000
Mg 0.000 0.500 0.500
Ni 0.500 0.500 0.000

Results
Symmetry ... No. 123
Calculated formation energy ... 0.555 eV/atom
Total DFT energy (no corrections) ... -1.96 eV per atom
Fermi-level density of states ... 1.531 states/eV per cell
Relative energy among the computed polymorphs ... 1.667 eV per formula unit


12.
This record from Alexandria via LeMat-Bulk describes an optimized crystal structure of KMgNi2. The functional is GGA-PBE.

abc: 4.083 2.975 7.215
angles: 77.82 90.00 90.00
Positions (direct):
K 0.000 0.457 0.459
Mg 0.500 0.753 0.873
Ni 0.000 0.185 0.005
Ni 0.500 0.105 0.164

Results
Symmetry ... No. 6
Calculated formation energy ... 0.406 eV/atom
Total DFT energy (no corrections) ... -3.16 eV per atom
Fermi-level density of states ... 4.922 states/eV per cell


13.
This record from Alexandria via LeMat-Bulk describes an optimized crystal structure of KMgNi4. The functional is GGA-PBE.

abc: 5.030 5.030 5.030
angles: 60.00 60.00 60.00
Positions (direct):
K 0.750 0.750 0.750
Mg 0.000 0.000 0.000
Ni 0.878 0.374 0.374
Ni 0.374 0.374 0.878
Ni 0.374 0.878 0.374
Ni 0.374 0.374 0.374

Results
Symmetry ... No. 216
Calculated formation energy ... 0.292 eV/atom
Total DFT energy (no corrections) ... -4.01 eV per atom
Fermi-level density of states ... 4.903 states/eV per cell


14.
This record from Alexandria via LeMat-Bulk describes an optimized crystal structure of KMg2NiSn. The functional is GGA-PBE.

abc: 5.093 5.093 4.912
angles: 90.00 90.00 90.00
Positions (direct):
Mg 0.000 0.500 0.000
Mg 0.500 0.000 0.000
Ni 0.000 0.000 0.000
K 0.500 0.500 0.500
Sn 0.000 0.000 0.500

Results
Symmetry ... No. 123
Calculated formation energy ... -0.084 eV/atom
Total DFT energy (no corrections) ... -2.90 eV per atom
Fermi-level density of states ... 2.666 states/eV per cell


15.
This record from Alexandria via LeMat-Bulk describes an optimized crystal structure of KMgNi2Sn. The functional is GGA-PBE.

abc: 4.948 5.320 4.948
angles: 90.00 90.00 90.00
Positions (direct):
Mg 0.000 0.500 0.000
Ni 0.000 0.000 0.500
Ni 0.500 0.000 0.000
K 0.500 0.500 0.500
Sn 0.000 0.000 0.000

Results
Symmetry ... No. 123
Calculated formation energy ... 0.501 eV/atom
Total DFT energy (no corrections) ... -3.15 eV per atom
Fermi-level density of states ... 4.452 states/eV per cell